(1)
# Nd6Dy2Y3Th (GGA-PBE, relaxed)
data_Nd6Dy2Y3Th
_cell_length_a 6.284
_cell_length_b 10.878
_cell_length_c 11.983
_cell_angle_alpha 90.00
_cell_angle_beta 100.09
_cell_angle_gamma 90.00
_symmetry_space_group_name_H-M 'C 1 2/m 1'
_symmetry_Int_Tables_number 12
_symmetry_space_group_name_Hall '-C 2y'
loop_
_atom_site_label
_atom_site_fract_x
_atom_site_fract_y
_atom_site_fract_z
Nd1 0.247 0.000 0.252
Nd2 0.248 0.165 0.749
Dy1 0.000 0.333 0.500
Y1 0.000 0.167 0.000
Y2 0.000 0.500 0.000
Th1 0.000 0.000 0.500
# DFT formation energy   0.030 eV/atom
# M_tot   0.0 μB/cell

***

(2)
# Ba3IrBr2O6 (GGA-PBE, relaxed)
data_Ba3IrBr2O6
_cell_length_a 12.895
_cell_length_b 7.180
_cell_length_c 6.190
_cell_angle_alpha 90.00
_cell_angle_beta 94.97
_cell_angle_gamma 90.00
_symmetry_space_group_name_H-M 'C 1 2/m 1'
_symmetry_Int_Tables_number 12
_symmetry_space_group_name_Hall '-C 2y'
loop_
_atom_site_label
_atom_site_fract_x
_atom_site_fract_y
_atom_site_fract_z
Ba1 0.000 0.000 0.000
Ba2 0.250 0.250 0.500
Ir1 0.000 0.500 0.500
Br1 0.232 0.000 0.918
O1 0.050 0.307 0.321
O2 0.134 0.500 0.655
# M_tot   0.2 μB/cell

***

(3)
# EuThAgSn (GGA-PBE, relaxed)
data_EuThAgSn
_cell_length_a 7.665
_cell_length_b 7.665
_cell_length_c 7.665
_cell_angle_alpha 90.00
_cell_angle_beta 90.00
_cell_angle_gamma 90.00
_symmetry_space_group_name_H-M 'F -4 3 m'
_symmetry_Int_Tables_number 216
_symmetry_space_group_name_Hall 'F -4 2 3'
loop_
_atom_site_label
_atom_site_fract_x
_atom_site_fract_y
_atom_site_fract_z
Eu1 0.000 0.000 0.000
Th1 0.000 0.000 0.500
Ag1 0.250 0.250 0.750
Sn1 0.250 0.250 0.250
# DFT formation energy   -0.347 eV/atom
# M_tot   32.0 μB/cell

***

(4)
# Pm8PrTm6 (GGA-PBE, relaxed)
data_Pm8PrTm6
_cell_length_a 9.3916
_cell_length_b 9.3916
_cell_length_c 6.6487
_cell_angle_alpha 90.00
_cell_angle_beta 90.00
_cell_angle_gamma 120.00
_symmetry_space_group_name_H-M 'P -3'
_symmetry_Int_Tables_number 147
_symmetry_space_group_name_Hall '-P 3'
loop_
_atom_site_label
_atom_site_fract_x
_atom_site_fract_y
_atom_site_fract_z
Pm1 0.0054 0.6900 0.3827
Pm2 0.3333 0.6667 0.6664
Pr1 0.0000 0.0000 0.0000
Tm1 0.0839 0.4094 0.1114
# DFT formation energy   0.215 eV/atom
# M_tot   0.0 μB/cell

***

(5)
# AsPRuBr2 (GGA-PBE, relaxed)
data_AsPRuBr2
_cell_length_a 4.975
_cell_length_b 4.975
_cell_length_c 4.953
_cell_angle_alpha 90.00
_cell_angle_beta 90.00
_cell_angle_gamma 90.00
_symmetry_space_group_name_H-M 'P 4/m m m'
_symmetry_Int_Tables_number 123
_symmetry_space_group_name_Hall '-P 4 2'
loop_
_atom_site_label
_atom_site_fract_x
_atom_site_fract_y
_atom_site_fract_z
As1 0.000 0.000 0.000
P1 0.000 0.000 0.500
Ru1 0.500 0.500 0.000
Br1 0.000 0.500 0.500
# M_tot   3.5 μB/cell

***

(6)
# MnGa (GGA-PBE, relaxed)
data_MnGa
_cell_length_a 2.7179
_cell_length_b 2.7179
_cell_length_c 25.4763
_cell_angle_alpha 90.00
_cell_angle_beta 90.00
_cell_angle_gamma 120.00
_symmetry_space_group_name_H-M 'R 3 m'
_symmetry_Int_Tables_number 160
_symmetry_space_group_name_Hall 'R 3 -2"'
loop_
_atom_site_label
_atom_site_fract_x
_atom_site_fract_y
_atom_site_fract_z
Mn1 0.0000 0.0000 0.0000
Mn2 0.0000 0.0000 0.2616
Ga1 0.0000 0.0000 0.4143
Ga2 0.0000 0.0000 0.5142
# DFT formation energy   0.059 eV/atom
# M_tot   0.2 μB/cell

***

(7)
# BeHAu (GGA-PBE, relaxed)
data_BeHAu
_cell_length_a 9.171
_cell_length_b 2.773
_cell_length_c 6.206
_cell_angle_alpha 90.00
_cell_angle_beta 111.69
_cell_angle_gamma 90.00
_symmetry_space_group_name_H-M 'C 1 m 1'
_symmetry_Int_Tables_number 8
_symmetry_space_group_name_Hall 'C -2y'
loop_
_atom_site_label
_atom_site_fract_x
_atom_site_fract_y
_atom_site_fract_z
Be1 0.000 0.000 0.000
Be2 0.027 0.000 0.366
H1 0.395 0.500 0.135
H2 0.411 0.000 0.883
Au1 0.215 0.500 0.274
Au2 0.485 0.000 0.650
# M_tot   0.0 μB/cell

***

(8)
# ZnInPt2 (GGA-PBE, relaxed)
data_ZnInPt2
_cell_length_a 6.435
_cell_length_b 6.435
_cell_length_c 6.435
_cell_angle_alpha 90.00
_cell_angle_beta 90.00
_cell_angle_gamma 90.00
_symmetry_space_group_name_H-M 'F -4 3 m'
_symmetry_Int_Tables_number 216
_symmetry_space_group_name_Hall 'F -4 2 3'
loop_
_atom_site_label
_atom_site_fract_x
_atom_site_fract_y
_atom_site_fract_z
Zn1 0.000 0.000 0.000
In1 0.250 0.250 0.750
Pt1 0.000 0.000 0.500
Pt2 0.250 0.250 0.250
# DFT formation energy   -0.265 eV/atom
# M_tot   0.0 μB/cell

***

(9)
# Er2Si4Pd3 (GGA-PBE, relaxed)
data_Er2Si4Pd3
_cell_length_a 5.607
_cell_length_b 14.814
_cell_length_c 7.272
_cell_angle_alpha 90.00
_cell_angle_beta 90.00
_cell_angle_gamma 90.00
_symmetry_space_group_name_H-M 'C m c e'
_symmetry_Int_Tables_number 64
_symmetry_space_group_name_Hall '-C 2ac 2'
loop_
_atom_site_label
_atom_site_fract_x
_atom_site_fract_y
_atom_site_fract_z
Er1 0.000 0.105 0.094
Si1 0.000 0.177 0.477
Si2 0.250 0.063 0.750
Pd1 0.000 0.000 0.500
Pd2 0.250 0.229 0.750
# M_tot   0.0 μB/cell

***

(10)
# Ca4TlCdIn2 (GGA-PBE, relaxed)
data_Ca4TlCdIn2
_cell_length_a 5.4626
_cell_length_b 5.4626
_cell_length_c 26.7754
_cell_angle_alpha 90.00
_cell_angle_beta 90.00
_cell_angle_gamma 120.00
_symmetry_space_group_name_H-M 'R -3 m'
_symmetry_Int_Tables_number 166
_symmetry_space_group_name_Hall '-R 3 2"'
loop_
_atom_site_label
_atom_site_fract_x
_atom_site_fract_y
_atom_site_fract_z
Ca1 0.0000 0.0000 0.1247
Ca2 0.0000 0.0000 0.3748
Tl1 0.0000 0.0000 0.5000
Cd1 0.0000 0.0000 0.0000
In1 0.0000 0.0000 0.2510
# DFT formation energy   -0.444 eV/atom
# M_tot   0.0 μB/cell

***

(11)
# K3ErSb2O9 (GGA-PBE, relaxed)
data_K3ErSb2O9
_cell_length_a 5.8697
_cell_length_b 5.8697
_cell_length_c 7.2454
_cell_angle_alpha 90.00
_cell_angle_beta 90.00
_cell_angle_gamma 120.00
_symmetry_space_group_name_H-M 'P -3 m 1'
_symmetry_Int_Tables_number 164
_symmetry_space_group_name_Hall '-P 3 2"'
loop_
_atom_site_label
_atom_site_fract_x
_atom_site_fract_y
_atom_site_fract_z
K1 0.0000 0.0000 0.0000
K2 0.3333 0.6667 0.6649
Er1 0.0000 0.0000 0.5000
Sb1 0.3333 0.6667 0.1606
O1 0.0000 0.5000 0.0000
O2 0.1745 0.3490 0.3167
# M_tot   1.9 μB/cell

***

(12)
# PuUFeRh (GGA-PBE, relaxed)
data_PuUFeRh
_cell_length_a 6.417
_cell_length_b 6.417
_cell_length_c 6.417
_cell_angle_alpha 90.00
_cell_angle_beta 90.00
_cell_angle_gamma 90.00
_symmetry_space_group_name_H-M 'F -4 3 m'
_symmetry_Int_Tables_number 216
_symmetry_space_group_name_Hall 'F -4 2 3'
loop_
_atom_site_label
_atom_site_fract_x
_atom_site_fract_y
_atom_site_fract_z
Pu1 0.000 0.000 0.000
U1 0.250 0.250 0.250
Fe1 0.000 0.000 0.500
Rh1 0.250 0.250 0.750
# DFT formation energy   -0.300 eV/atom
# M_tot   12.7 μB/cell

***

(13)
# Ni2HgPt2 (GGA-PBE, relaxed)
data_Ni2HgPt2
_cell_length_a 3.752
_cell_length_b 3.752
_cell_length_c 11.580
_cell_angle_alpha 90.00
_cell_angle_beta 90.00
_cell_angle_gamma 90.00
_symmetry_space_group_name_H-M 'I 4/m m m'
_symmetry_Int_Tables_number 139
_symmetry_space_group_name_Hall '-I 4 2'
loop_
_atom_site_label
_atom_site_fract_x
_atom_site_fract_y
_atom_site_fract_z
Ni1 0.000 0.000 0.099
Hg1 0.000 0.000 0.500
Pt1 0.000 0.500 0.250
# DFT formation energy   0.233 eV/atom
# M_tot   3.7 μB/cell

***

(14)
# LiSn2Os (GGA-PBE, relaxed)
data_LiSn2Os
_cell_length_a 6.560
_cell_length_b 6.560
_cell_length_c 6.560
_cell_angle_alpha 90.00
_cell_angle_beta 90.00
_cell_angle_gamma 90.00
_symmetry_space_group_name_H-M 'F m -3 m'
_symmetry_Int_Tables_number 225
_symmetry_space_group_name_Hall '-F 4 2 3'
loop_
_atom_site_label
_atom_site_fract_x
_atom_site_fract_y
_atom_site_fract_z
Li1 0.000 0.000 0.000
Sn1 0.250 0.250 0.250
Os1 0.000 0.000 0.500
# DFT formation energy   0.002 eV/atom
# M_tot   0.0 μB/cell

***

(15)
# TbCeSm4 (GGA-PBE, relaxed)
data_TbCeSm4
_cell_length_a 6.700
_cell_length_b 11.697
_cell_length_c 10.215
_cell_angle_alpha 90.00
_cell_angle_beta 90.00
_cell_angle_gamma 90.00
_symmetry_space_group_name_H-M 'I m m a'
_symmetry_Int_Tables_number 74
_symmetry_space_group_name_Hall '-I 2b 2'
loop_
_atom_site_label
_atom_site_fract_x
_atom_site_fract_y
_atom_site_fract_z
Tb1 0.250 0.250 0.250
Ce1 0.000 0.000 0.000
Sm1 0.000 0.001 0.333
Sm2 0.249 0.250 0.919
# DFT formation energy   0.264 eV/atom
# M_tot   5.9 μB/cell

***

(16)
# BeCdW2 (GGA-PBE, relaxed)
data_BeCdW2
_cell_length_a 9.222
_cell_length_b 2.704
_cell_length_c 5.138
_cell_angle_alpha 90.00
_cell_angle_beta 95.43
_cell_angle_gamma 90.00
_symmetry_space_group_name_H-M 'C 1 m 1'
_symmetry_Int_Tables_number 8
_symmetry_space_group_name_Hall 'C -2y'
loop_
_atom_site_label
_atom_site_fract_x
_atom_site_fract_y
_atom_site_fract_z
Be1 0.000 0.000 0.000
Cd1 0.240 0.000 0.749
W1 0.235 0.500 0.235
W2 0.489 0.000 0.449
# DFT formation energy   0.580 eV/atom
# M_tot   0.0 μB/cell

***

(17)
# Rb2ZnBr7 (GGA-PBE, relaxed)
data_Rb2ZnBr7
_cell_length_a 8.123
_cell_length_b 8.123
_cell_length_c 11.083
_cell_angle_alpha 90.00
_cell_angle_beta 90.00
_cell_angle_gamma 90.00
_symmetry_space_group_name_H-M 'I 4/m m m'
_symmetry_Int_Tables_number 139
_symmetry_space_group_name_Hall '-I 4 2'
loop_
_atom_site_label
_atom_site_fract_x
_atom_site_fract_y
_atom_site_fract_z
Rb1 0.000 0.500 0.250
Zn1 0.000 0.000 0.000
Br1 0.000 0.000 0.270
Br2 0.000 0.000 0.500
Br3 0.217 0.217 0.000
# M_tot   0.0 μB/cell

***

(18)
# ZnTe2Au (GGA-PBE, relaxed)
data_ZnTe2Au
_cell_length_a 4.0737
_cell_length_b 4.0737
_cell_length_c 24.7303
_cell_angle_alpha 90.00
_cell_angle_beta 90.00
_cell_angle_gamma 120.00
_symmetry_space_group_name_H-M 'R -3 m'
_symmetry_Int_Tables_number 166
_symmetry_space_group_name_Hall '-R 3 2"'
loop_
_atom_site_label
_atom_site_fract_x
_atom_site_fract_y
_atom_site_fract_z
Zn1 0.0000 0.0000 0.0000
Te1 0.0000 0.0000 0.3955
Au1 0.0000 0.0000 0.5000
# M_tot   0.0 μB/cell

***

(19)
# BiBIr2N (GGA-PBE, relaxed)
data_BiBIr2N
_cell_length_a 5.066
_cell_length_b 5.066
_cell_length_c 4.273
_cell_angle_alpha 90.00
_cell_angle_beta 90.00
_cell_angle_gamma 90.00
_symmetry_space_group_name_H-M 'P 4/m m m'
_symmetry_Int_Tables_number 123
_symmetry_space_group_name_Hall '-P 4 2'
loop_
_atom_site_label
_atom_site_fract_x
_atom_site_fract_y
_atom_site_fract_z
Bi1 0.000 0.000 0.000
B1 0.500 0.500 0.500
Ir1 0.000 0.500 0.000
N1 0.000 0.000 0.500
# M_tot   1.0 μB/cell

***

(20)
# Na3Cd2Ga7 (GGA-PBE, relaxed)
data_Na3Cd2Ga7
_cell_length_a 5.7595
_cell_length_b 5.7595
_cell_length_c 27.0589
_cell_angle_alpha 90.00
_cell_angle_beta 90.00
_cell_angle_gamma 120.00
_symmetry_space_group_name_H-M 'R -3 m'
_symmetry_Int_Tables_number 166
_symmetry_space_group_name_Hall '-R 3 2"'
loop_
_atom_site_label
_atom_site_fract_x
_atom_site_fract_y
_atom_site_fract_z
Na1 0.0000 0.0000 0.0000
Na2 0.0000 0.0000 0.1403
Cd1 0.0000 0.0000 0.3371
Ga1 0.0000 0.0000 0.5000
Ga2 0.0128 0.5064 0.9121
# DFT formation energy   -0.096 eV/atom
# M_tot   0.0 μB/cell

***

(21)
# Pm12Ga6Co (GGA-PBE, relaxed)
data_Pm12Ga6Co
_cell_length_a 11.8756
_cell_length_b 11.8756
_cell_length_c 13.4100
_cell_angle_alpha 90.00
_cell_angle_beta 90.00
_cell_angle_gamma 120.00
_symmetry_space_group_name_H-M 'R -3'
_symmetry_Int_Tables_number 148
_symmetry_space_group_name_Hall '-R 3'
loop_
_atom_site_label
_atom_site_fract_x
_atom_site_fract_y
_atom_site_fract_z
Pm1 0.0368 0.1966 0.3907
Pm2 0.0382 0.8419 0.8801
Ga1 0.0057 0.4012 0.2574
Co1 0.0000 0.0000 0.0000
# DFT formation energy   -0.282 eV/atom
# M_tot   0.0 μB/cell

***

(22)
# KC4N3 (GGA-PBE, relaxed)
data_KC4N3
_cell_length_a 3.989
_cell_length_b 8.773
_cell_length_c 9.376
_cell_angle_alpha 75.44
_cell_angle_beta 82.51
_cell_angle_gamma 89.07
_symmetry_space_group_name_H-M 'P -1'
_symmetry_Int_Tables_number 2
_symmetry_space_group_name_Hall '-P 1'
loop_
_atom_site_label
_atom_site_fract_x
_atom_site_fract_y
_atom_site_fract_z
K1 0.191 0.333 0.197
C1 0.336 0.036 0.782
C2 0.340 0.308 0.802
C3 0.401 0.197 0.718
C4 0.472 0.752 0.434
N1 0.285 0.900 0.831
N2 0.291 0.404 0.870
N3 0.367 0.712 0.561
# M_tot   0.0 μB/cell

***

Number 1: total DFT energy (no corrections) -0.1968 Ha/atom. Number 2: total DFT energy (no corrections) -0.1998 Ha/atom. Number 3: total DFT energy (no corrections) -0.2383 Ha/atom. Number 4: total DFT energy (no corrections) -0.1626 Ha/atom. Number 5: total DFT energy (no corrections) -0.1240 Ha/atom. Number 6: total DFT energy (no corrections) -0.2219 Ha/atom. Number 7: total DFT energy (no corrections) -0.1257 Ha/atom. Number 8: total DFT energy (no corrections) -0.1576 Ha/atom. Number 9: total DFT energy (no corrections) -0.2185 Ha/atom. Number 10: total DFT energy (no corrections) -0.0933 Ha/atom. Number 11: total DFT energy (no corrections) -0.2124 Ha/atom. Number 12: total DFT energy (no corrections) -0.3917 Ha/atom. Number 13: total DFT energy (no corrections) -0.1675 Ha/atom. Number 14: total DFT energy (no corrections) -0.1942 Ha/atom. Number 15: total DFT energy (no corrections) -0.1706 Ha/atom. Number 16: total DFT energy (no corrections) -0.2593 Ha/atom. Number 17: total DFT energy (no corrections) -0.0861 Ha/atom. Number 18: total DFT energy (no corrections) -0.1004 Ha/atom. Number 19: total DFT energy (no corrections) -0.1578 Ha/atom. Number 20: total DFT energy (no corrections) -0.0861 Ha/atom. Number 21: total DFT energy (no corrections) -0.1695 Ha/atom. Number 22: total DFT energy (no corrections) -0.2857 Ha/atom.